Record 1
DFT (PBE) results for a relaxed structure of FeCu2Os.

```
FeCu2Os
1.0
-0.9629 0.8335 2.3387
-2.4300 -0.8310 -0.7043
1.3471 -6.3171 2.8059
Os Cu Fe
1 2 1
direct
0.5000 0.5000 0.7346
0.0000 0.0000 0.0097
0.5000 0.5000 0.2529
0.0000 0.0000 0.5029
```

Summary:
crystal system: tetragonal
E_tot: -6.781 eV/atom

=====

Record 2
DFT (PBE) results for a relaxed structure of FeCu3Os.

```
FeCu3Os
1.0
4.2729 0.0000 0.0000
0.0000 4.2729 0.0000
0.0000 0.0000 4.2729
Cu Fe Os
3 1 1
direct
0.5000 0.0000 0.0000
0.0000 0.5000 0.0000
0.0000 0.0000 0.5000
0.0000 0.0000 0.0000
0.5000 0.5000 0.5000
```

Summary:
crystal system: cubic
E_tot: -4.810 eV/atom
excess energy over the best structure of this formula in the dataset: 0 meV per atom

=====

Record 3
DFT (PBE) results for a relaxed structure of Fe2CuOs.

```
Fe2CuOs
1.0
-0.5162 -4.3169 1.0177
4.0269 -1.8862 0.4054
-1.7321 3.6942 1.8141
Cu Fe Os
1 2 1
direct
0.7500 0.2500 0.5000
0.5000 0.5000 0.0000
0.0000 0.0000 0.0000
0.2500 0.7500 0.5000
```

Summary:
crystal system: tetragonal
E_tot: -7.825 eV/atom
excess energy over the best structure of this formula in the dataset: 63 meV per atom

=====

Record 4
DFT (PBE) results for a relaxed structure of Fe2CuOs.

```
Fe2CuOs
1.0
2.6251 0.0000 0.0000
0.0000 3.6155 0.0000
0.0000 0.0000 5.2159
Cu Os Fe
1 1 2
direct
0.5000 0.5000 0.7599
0.0000 0.0000 0.4809
0.5000 0.5000 0.2594
0.0000 0.0000 0.9999
```

Summary:
crystal system: orthorhombic
E_tot: -7.850 eV/atom
excess energy over the best structure of this formula in the dataset: 37 meV per atom

=====

Record 5
DFT (PBE) results for a relaxed structure of Fe2CuOs.

```
Fe2CuOs
1.0
-0.2858 -0.1265 2.6403
-2.5916 -0.5098 -0.3049
1.3855 -6.9342 -0.1822
Fe Os Cu
2 1 1
direct
0.5000 0.5000 0.2506
0.0000 0.0000 0.0061
0.0000 0.0000 0.4852
0.5000 0.5000 0.7582
```

Summary:
crystal system: tetragonal
E_tot: -7.845 eV/atom
excess energy over the best structure of this formula in the dataset: 43 meV per atom

=====

Record 6
DFT (PBE) results for a relaxed structure of Fe2CuOs.

```
Fe2CuOs
1.0
-0.4655 -2.5460 0.5214
1.8794 0.0361 1.8540
-4.8310 1.8787 4.8606
Cu Os Fe
1 1 2
direct
0.5000 0.5000 0.7500
0.5000 0.5000 0.2500
0.0000 0.0000 0.5033
0.0000 0.0000 0.9967
```

Summary:
crystal system: tetragonal
E_tot: -7.878 eV/atom
excess energy over the best structure of this formula in the dataset: 10 meV per atom

=====

Record 7
DFT (PBE) results for a relaxed structure of Fe2CuOs.

```
Fe2CuOs
1.0
3.6382 0.0000 0.0000
0.0000 3.6763 0.0000
0.0000 0.0000 3.7141
Fe Cu Os
2 1 1
direct
0.0000 0.0000 0.0000
0.5000 0.5000 0.0000
0.0000 0.5000 0.5000
0.5000 0.0000 0.5000
```

Summary:
crystal system: orthorhombic
E_tot: -7.793 eV/atom
excess energy over the best structure of this formula in the dataset: 94 meV per atom

=====

Record 8
DFT (PBE) results for a relaxed structure of Fe2CuOs.

```
Fe2CuOs
1.0
0.0000 2.9374 2.9374
2.9374 0.0000 2.9374
2.9374 2.9374 0.0000
Fe Os Cu
2 1 1
direct
0.2500 0.2500 0.2500
0.7500 0.7500 0.7500
0.5000 0.5000 0.5000
0.0000 0.0000 0.0000
```

Summary:
crystal system: cubic
E_tot: -7.719 eV/atom
excess energy over the best structure of this formula in the dataset: 168 meV per atom

=====

| no. | volume (Å³/atom) | formation energy from the elements (eV/atom) | total magnetization (μB per cell) |
| --- | --- | --- | --- |
| 1 | 12.48 | 0.190 | 1.33 |
| 2 | 15.60 | 1.586 | 4.82 |
| 3 | 12.23 | 0.238 | 4.30 |
| 4 | 12.38 | 0.213 | 3.86 |
| 5 | 12.50 | 0.218 | 4.16 |
| 6 | 12.38 | 0.185 | 3.66 |
| 7 | 12.42 | 0.270 | 5.18 |
| 8 | 12.67 | 0.344 | 5.74 |